# Nd3BBr3 | the Alexandria database | PBE-GGA | optimized geometry
data_Nd3BBr3
_cell_length_a 11.692
_cell_length_b 11.692
_cell_length_c 11.692
_cell_angle_alpha 90.00
_cell_angle_beta 90.00
_cell_angle_gamma 90.00
_space_group_name_H-M_alt 'I 41 3 2'
_space_group_IT_number 214
_space_group_name_Hall 'I 4bd 2c 3'
loop_
_atom_site_label
_atom_site_fract_x
_atom_site_fract_y
_atom_site_fract_z
Nd1 0.107 0.357 0.125
B1 0.125 0.125 0.125
Br1 0.117 0.133 0.625
# magnetic moment	0.0	μB/cell



# NdBBr | the Alexandria database | PBE-GGA | optimized geometry
data_NdBBr
_cell_length_a 4.307
_cell_length_b 4.513
_cell_length_c 16.583
_cell_angle_alpha 90.00
_cell_angle_beta 90.00
_cell_angle_gamma 90.00
_space_group_name_H-M_alt 'I m m m'
_space_group_IT_number 71
_space_group_name_Hall '-I 2 2'
loop_
_atom_site_label
_atom_site_fract_x
_atom_site_fract_y
_atom_site_fract_z
Nd1 0.000 0.000 0.120
B1 0.176 0.500 0.500
Br1 0.000 0.000 0.320
# magnetic moment	0.0	μB/cell



# NiB2Br2 | the Alexandria database | PBE-GGA | optimized geometry
data_NiB2Br2
_cell_length_a 6.102
_cell_length_b 6.102
_cell_length_c 4.372
_cell_angle_alpha 90.00
_cell_angle_beta 90.00
_cell_angle_gamma 90.00
_space_group_name_H-M_alt 'P 4/m b m'
_space_group_IT_number 127
_space_group_name_Hall '-P 4 2ab'
loop_
_atom_site_label
_atom_site_fract_x
_atom_site_fract_y
_atom_site_fract_z
Ni1 0.000 0.000 0.000
B1 0.232 0.268 0.000
Br1 0.191 0.309 0.500
# magnetic moment	0.0	μB/cell



Computed values of electronic total energy (unit: Ry per atom) for the preceding records, in sequence: -0.3650, -0.3447, -0.2495.
Computed values of density (unit: g/cm³) for the preceding records, in sequence: 5.7, 4.8, 4.9.
Computed values of uncorrected formation energy (unit: eV per atom) for the preceding records, in sequence: -1.252, -0.317, 1.102.